Below is an optimized crystal structure of TaVN2O, with properties calculated at the PBE with a Hubbard U level.

Calculated values
- Symmetry: P4/mmm, No. 123
- Size of the total moment: 0.2562 μB/atom
- Crystal system: tetragonal
- Total energy: -8.155 eV/atom

Geometry as POSCAR:
```
TaVN2O
1.0
3.829 0.000 0.000
0.000 3.829 0.000
0.000 0.000 3.603
Ta V N O
1 1 2 1
Cartesian
0.000 0.000 0.000 Ta
1.915 1.915 1.801 V
0.000 1.915 1.801 N
1.915 0.000 1.801 N
1.915 1.915 0.000 O
```